Here is a relaxed EuIn2Rh crystal from the Alexandria database. Energies are from PBE.

abc: 4.2772 10.4787 8.3207
angles: 90.00 90.00 90.00
With the nearest neighbours (Å) after each atom.
Space group Cmcm (No. 63)
Unique sites:
1 Eu 0.0000 0.0636 0.2500 [4 per cell]  3 Rh 2.96-3.13
2 In 0.0000 0.3511 0.0503 [8 per cell]  3 Rh 2.81-2.86, 2 In 3.12
3 Rh 0.0000 0.2186 0.7500 [4 per cell]  6 In 2.81-2.86, 3 Eu 2.96-3.13

Properties
As for the spin magnetization: 27.61 μB/cell. The total energy comes out at -6.32 eV/atom. For the formation energy from the elements, the calculation gives -0.5479 eV/atom. The value obtained for the energy above the most stable polymorph in this dataset is 0 meV per atom.

=====

Here is a relaxed EuInRh crystal from the Alexandria database. Energies are from PBE.

abc: 7.4221 4.3671 8.5089
angles: 90.00 90.00 90.00
With the nearest neighbours (Å) after each atom.
Space group Pnma (No. 62)
Unique sites:
1 Eu 0.0289 0.2500 0.1773 [4 per cell]  5 Rh 3.12-3.15, 5 In 3.36-3.40
2 In 0.1463 0.2500 0.5637 [4 per cell]  4 Rh 2.78-2.83
3 Rh 0.2277 0.7500 0.3734 [4 per cell]  4 In 2.78-2.83

Properties
As for the spin magnetization: 27.70 μB/cell. The total energy comes out at -7.37 eV/atom. For the formation energy from the elements, the calculation gives -0.5794 eV/atom.

=====

Here is a relaxed EuInRh crystal from the Alexandria database. Energies are from PBE.

abc: 3.4089 3.4089 11.6753
angles: 90.00 90.00 90.00
With the nearest neighbours (Å) after each atom.
Space group I4mm (No. 107)
Unique sites:
1 Eu 0.0000 0.0000 0.0000 [2 per cell]  4 Rh 3.09, 1 In 3.35, 4 Eu 3.41
2 In 0.0000 0.0000 0.7134 [2 per cell]  4 Rh 2.79
3 Rh 0.0000 0.0000 0.3338 [2 per cell]  4 In 2.79, 4 Eu 3.09

Properties
As for the spin magnetization: 13.83 μB/cell. The total energy comes out at -7.20 eV/atom. For the formation energy from the elements, the calculation gives -0.4078 eV/atom.